## BeHg3Se (PBE)

Data for a relaxed structure of BeHg3Se.

Raw formation energy = 0.79 eV per atom
Space group = Pm-3m, No. 221
Calculated density = 6.44 g/cm3

Structure (POSCAR):
```
BeHg3Se
1.0
-5.088 0.373 2.369
-2.106 -3.351 -3.997
1.146 -4.502 3.170
Be Hg Se
1 3 1
direct
0.500 0.500 0.500 Be
0.000 0.500 0.000 Hg
0.000 0.000 0.500 Hg
0.500 0.000 0.000 Hg
0.000 0.000 0.000 Se
```